Material: Sr2GeI
Method: DFT, PBE
State: optimized geometry

The structure belongs to space group I-42d (No. 122); the cell edges are 8.474, 8.474 and 9.216 Å and the angles 90.00°, 90.00° and 90.00°. The distinct sites, in fractional coordinates, are Sr at (0.222, 0.250, 0.125), Ge at (0.000, 0.000, 0.000) and I at (0.000, 0.000, 0.500).

Its uncorrected formation energy is -0.65 eV per atom. The crystal system is tetragonal. The calculation puts the magnetization at 4.0 Bohr magnetons per cell. The offset from the most stable computed form is 0.274 eV/atom.